No. 1
# GGA-PBE Pm5SmPb3, optimized geometry
data_Pm5SmPb3
_chemical_formula_sum 'Pm10 Sm2 Pb6'
_cell_length_a 6.778
_cell_length_b 9.703
_cell_length_c 9.703
_cell_angle_alpha 120.00
_cell_angle_beta 90.00
_cell_angle_gamma 90.00
_symmetry_space_group_name_H-M 'P 1'
_symmetry_Int_Tables_number 1
loop_
_symmetry_equiv_pos_as_xyz
'x,y,z'
loop_
_atom_site_label
_atom_site_fract_x
_atom_site_fract_y
_atom_site_fract_z
_atom_site_occupancy
Pm1 0.000 0.667 0.333 1
Pm2 0.500 0.333 0.667 1
Pm3 0.000 0.333 0.667 1
Pm4 0.500 0.667 0.333 1
Pm5 0.750 0.667 0.667 1
Pm6 0.750 0.000 0.333 1
Pm7 0.750 0.333 0.000 1
Pm8 0.250 0.333 0.333 1
Pm9 0.250 0.000 0.667 1
Pm10 0.250 0.667 0.000 1
Sm1 0.000 0.000 0.000 1
Sm2 0.500 0.000 0.000 1
Pb1 0.750 0.333 0.333 1
Pb2 0.750 0.000 0.667 1
Pb3 0.750 0.667 0.000 1
Pb4 0.250 0.667 0.667 1
Pb5 0.250 0.000 0.333 1
Pb6 0.250 0.333 0.000 1
# ΔH_f (0 K): -40.87 kJ/mol of atoms
# total magnetization: 0.341 μB per atom
# symmetry: P6_3/mcm, No. 193

***

No. 2
# GGA-PBE TmCd4Pd7, optimized geometry
data_TmCd4Pd7
_chemical_formula_sum 'Tm1 Cd4 Pd7'
_cell_length_a 4.992
_cell_length_b 9.013
_cell_length_c 5.875
_cell_angle_alpha 81.16
_cell_angle_beta 64.86
_cell_angle_gamma 73.92
_symmetry_space_group_name_H-M 'P 1'
_symmetry_Int_Tables_number 1
loop_
_symmetry_equiv_pos_as_xyz
'x,y,z'
loop_
_atom_site_label
_atom_site_fract_x
_atom_site_fract_y
_atom_site_fract_z
_atom_site_occupancy
Tm1 0.000 0.000 0.000 1
Cd1 0.587 0.229 0.596 1
Cd2 0.413 0.771 0.404 1
Cd3 0.754 0.667 0.825 1
Cd4 0.246 0.333 0.175 1
Pd1 0.786 0.920 0.508 1
Pd2 0.214 0.080 0.492 1
Pd3 0.060 0.665 0.214 1
Pd4 0.940 0.335 0.786 1
Pd5 0.358 0.527 0.757 1
Pd6 0.500 0.000 0.000 1
Pd7 0.642 0.473 0.243 1
# ΔH_f (0 K): -28.97 kJ/mol of atoms
# total magnetization: 0.000 μB per atom
# symmetry: C2/m, No. 12

***

No. 3
# GGA-PBE CdAu2Se, optimized geometry
data_CdAu2Se
_chemical_formula_sum 'Cd1 Au2 Se1'
_cell_length_a 6.861
_cell_length_b 6.861
_cell_length_c 3.647
_cell_angle_alpha 90.39
_cell_angle_beta 90.39
_cell_angle_gamma 32.03
_symmetry_space_group_name_H-M 'P 1'
_symmetry_Int_Tables_number 1
loop_
_symmetry_equiv_pos_as_xyz
'x,y,z'
loop_
_atom_site_label
_atom_site_fract_x
_atom_site_fract_y
_atom_site_fract_z
_atom_site_occupancy
Au1 0.048 0.048 0.880 1
Au2 0.723 0.723 0.870 1
Cd1 0.469 0.469 0.378 1
Se1 0.259 0.259 0.372 1
# excess energy over the best structure of this formula in the dataset: 29 meV per atom
# total magnetization: 0.000 μB per atom
# raw formation energy: -0.006 eV per atom
# symmetry: Cm, No. 8

***

No. 4
# GGA-PBE CaDySe2, optimized geometry
data_CaDySe2
_chemical_formula_sum 'Ca1 Dy1 Se2'
_cell_length_a 4.041
_cell_length_b 4.041
_cell_length_c 7.557
_cell_angle_alpha 74.49
_cell_angle_beta 74.49
_cell_angle_gamma 60.00
_symmetry_space_group_name_H-M 'P 1'
_symmetry_Int_Tables_number 1
loop_
_symmetry_equiv_pos_as_xyz
'x,y,z'
loop_
_atom_site_label
_atom_site_fract_x
_atom_site_fract_y
_atom_site_fract_z
_atom_site_occupancy
Ca1 0.496 0.496 0.513 1
Dy1 0.670 0.670 0.991 1
Se1 0.081 0.081 0.758 1
Se2 0.254 0.254 0.238 1
# excess energy over the best structure of this formula in the dataset: 77 meV per atom
# total magnetization: 0.000 μB per atom
# raw formation energy: -1.795 eV per atom
# symmetry: R3m, No. 160

***

No. 5
# GGA-PBE P2CSBr, optimized geometry
data_P2CSBr
_chemical_formula_sum 'P2 C1 S1 Br1'
_cell_length_a 4.982
_cell_length_b 4.982
_cell_length_c 4.717
_cell_angle_alpha 90.00
_cell_angle_beta 90.00
_cell_angle_gamma 90.00
_symmetry_space_group_name_H-M 'P 1'
_symmetry_Int_Tables_number 1
loop_
_symmetry_equiv_pos_as_xyz
'x,y,z'
loop_
_atom_site_label
_atom_site_fract_x
_atom_site_fract_y
_atom_site_fract_z
_atom_site_occupancy
P1 0.000 0.500 0.000 1
P2 0.500 0.000 0.000 1
S1 0.000 0.000 0.500 1
C1 0.500 0.500 0.500 1
Br1 0.000 0.000 0.000 1
# excess energy over the best structure of this formula in the dataset: 1312 meV per atom
# total magnetization: 0.096 μB per atom
# raw formation energy: 2.741 eV per atom
# symmetry: P4/mmm, No. 123

***

No. 6
# GGA-PBE TiHg2GeSb, optimized geometry
data_TiHg2GeSb
_chemical_formula_sum 'Ti1 Hg2 Ge1 Sb1'
_cell_length_a 5.284
_cell_length_b 4.975
_cell_length_c 5.284
_cell_angle_alpha 90.00
_cell_angle_beta 90.00
_cell_angle_gamma 90.00
_symmetry_space_group_name_H-M 'P 1'
_symmetry_Int_Tables_number 1
loop_
_symmetry_equiv_pos_as_xyz
'x,y,z'
loop_
_atom_site_label
_atom_site_fract_x
_atom_site_fract_y
_atom_site_fract_z
_atom_site_occupancy
Sb1 0.500 0.500 0.500 1
Ge1 0.000 0.500 0.000 1
Hg1 0.000 0.000 0.500 1
Hg2 0.500 0.000 0.000 1
Ti1 0.000 0.000 0.000 1
# total magnetization: 0.000 μB per atom
# raw formation energy: 0.557 eV per atom
# symmetry: P4/mmm, No. 123

***

No. 7
# GGA-PBE La2FeIr, optimized geometry
data_La2FeIr
_chemical_formula_sum 'La2 Fe1 Ir1'
_cell_length_a 7.989
_cell_length_b 5.015
_cell_length_c 3.665
_cell_angle_alpha 90.07
_cell_angle_beta 62.60
_cell_angle_gamma 128.93
_symmetry_space_group_name_H-M 'P 1'
_symmetry_Int_Tables_number 1
loop_
_symmetry_equiv_pos_as_xyz
'x,y,z'
loop_
_atom_site_label
_atom_site_fract_x
_atom_site_fract_y
_atom_site_fract_z
_atom_site_occupancy
Fe1 0.000 0.500 0.500 1
Ir1 0.500 0.500 0.000 1
La1 0.000 0.000 0.000 1
La2 0.500 0.000 0.500 1
# ΔH_f (0 K): -13.24 kJ/mol of atoms
# total magnetization: 0.436 μB per atom
# symmetry: C2/m, No. 12

***

No. 8
# GGA-PBE SmDyO2, optimized geometry
data_SmDyO2
_chemical_formula_sum 'Sm1 Dy1 O2'
_cell_length_a 3.433
_cell_length_b 3.433
_cell_length_c 6.262
_cell_angle_alpha 74.09
_cell_angle_beta 74.09
_cell_angle_gamma 60.00
_symmetry_space_group_name_H-M 'P 1'
_symmetry_Int_Tables_number 1
loop_
_symmetry_equiv_pos_as_xyz
'x,y,z'
loop_
_atom_site_label
_atom_site_fract_x
_atom_site_fract_y
_atom_site_fract_z
_atom_site_occupancy
Sm1 0.495 0.495 0.516 1
Dy1 0.673 0.673 0.982 1
O1 0.073 0.073 0.782 1
O2 0.260 0.260 0.220 1
# excess energy over the best structure of this formula in the dataset: 110 meV per atom
# total magnetization: 0.000 μB per atom
# raw formation energy: -2.708 eV per atom
# symmetry: R3m, No. 160